1.
Material: Li2Ta3NbN6
Method: DFT, PBE-GGA
State: optimized geometry

a = 5.337 Å, b = 9.255 Å, c = 5.306 Å
α = 90.00°, β = 109.58°, γ = 90.00°
Space group C2/m (No. 12)
Asymmetric unit:
1 Li 0.000 0.164 0.000
2 Ta 0.000 0.000 0.500
3 Ta 0.000 0.324 0.500
4 Nb 0.000 0.500 0.000
5 N 0.244 0.500 0.732
6 N 0.248 0.167 0.748

Calculated total energy = -225.03 eV per cell
Density of states at the Fermi level = 8.9 states/eV/cell
Formation energy from raw total energies = -1.092 eV per atom
Theoretical density = 9.9 g/cm³


2.
Material: Li3TaNb2N6
Method: DFT, PBE-GGA
State: optimized geometry

a = 5.377 Å, b = 9.314 Å, c = 5.410 Å
α = 90.00°, β = 109.35°, γ = 90.00°
Space group C2/m (No. 12)
Asymmetric unit:
1 Li 0.000 0.000 0.000
2 Li 0.000 0.332 0.000
3 Ta 0.000 0.500 0.500
4 Nb 0.000 0.167 0.500
5 N 0.239 0.334 0.721
6 N 0.242 0.000 0.720

Calculated total energy = -197.44 eV per cell
Formation energy from raw total energies = -0.919 eV per atom
Theoretical density = 6.1 g/cm³


3.
Material: Li2TbNb3N6
Method: DFT, PBE-GGA
State: optimized geometry

a = 5.402 Å, b = 9.365 Å, c = 5.701 Å
α = 90.00°, β = 108.10°, γ = 90.00°
Space group C2/m (No. 12)
Asymmetric unit:
1 Li 0.000 0.165 0.000
2 Tb 0.000 0.500 0.000
3 Nb 0.000 0.000 0.500
4 Nb 0.000 0.328 0.500
5 N 0.240 0.168 0.724
6 N 0.242 0.500 0.721

Calculated total energy = -202.72 eV per cell
Density of states at the Fermi level = 6.2 states/eV/cell
Formation energy from raw total energies = -1.062 eV per atom
Theoretical density = 6.5 g/cm³


4.
Material: LiTbNb4N8
Method: DFT, PBE-GGA
State: optimized geometry

a = 6.3659 Å, b = 6.3659 Å, c = 15.6486 Å
α = 90.00°, β = 90.00°, γ = 120.00°
Space group R3m (No. 160, hexagonal axes)
Asymmetric unit:
1 Li 0.0000 0.0000 0.0000
2 Tb 0.0000 0.0000 0.3815
3 Nb 0.0000 0.0000 0.6242
4 Nb 0.1725 0.3449 0.8307
5 N 0.0000 0.0000 0.2389
6 N 0.0000 0.0000 0.7605
7 N 0.0050 0.5025 0.2437
8 N 0.0425 0.5213 0.7641

Calculated total energy = -374.91 eV per cell
Formation energy from raw total energies = -0.825 eV per atom
Theoretical density = 5.9 g/cm³